(1)
## Na2NpAs2Pt (PBE-GGA)

Data for a relaxed Na2NpAs2Pt crystal.

```
12
Lattice="-0.321 3.036 2.935 -7.082 -0.132 -0.638 -0.442 -5.979 6.137" Properties=species:S:1:pos:R:3 pbc="T T T"
Pt -4.957 -0.577 3.110
Pt -1.561 -2.473 5.443
As -5.424 -1.163 0.609
Np -3.658 -3.335 3.050
Na -0.388 1.052 1.925
Na -6.451 -5.158 4.631
As -2.216 -0.774 3.614
As -5.865 -2.305 4.798
As -2.168 -4.949 4.883
Na -4.302 -4.068 6.793
Na -2.606 -0.981 0.730
Np -7.157 -2.837 2.152
```

Values from the calculation:
raw total energy: -5.646 eV/atom
energy relative to the elements: -493 meV/atom

---

(2)
## Na2NpAs3Pt4 (PBE-GGA)

Data for a relaxed Na2NpAs3Pt4 crystal.

```
10
Lattice="4.233 0.000 0.000 0.000 4.233 0.000 0.000 0.000 11.410" Properties=species:S:1:pos:R:3 pbc="T T T"
Pt 2.116 2.116 0.000
Pt 0.000 0.000 0.000
As 0.000 2.116 1.439
Na 0.000 2.116 8.835
Np 2.116 2.116 5.705
Pt 0.000 2.116 3.856
Na 2.116 0.000 2.575
Pt 2.116 0.000 7.554
As 0.000 0.000 5.705
As 2.116 0.000 9.971
```

Values from the calculation:
raw total energy: -5.770 eV/atom
energy relative to the elements: -401 meV/atom

---

(3)
## Na2NpAsS5 (PBE-GGA)

Data for a relaxed Na2NpAsS5 crystal.

```
18
Lattice="4.056 0.000 0.000 -2.028 8.303 0.000 0.000 0.000 13.196" Properties=species:S:1:pos:R:3 pbc="T T T"
S 0.000 8.230 3.570
S 2.028 3.163 11.958
S 2.028 3.838 2.212
Np 0.000 3.674 0.524
S 2.028 2.232 6.480
Na 0.000 1.545 8.598
As 0.000 7.483 5.645
Na 0.000 2.114 4.144
S 0.000 1.118 0.731
S 0.000 4.466 8.810
Np 2.028 4.629 7.122
S 2.028 0.073 10.168
Na 2.028 6.758 2.000
S 0.000 6.071 13.078
Na 2.028 6.190 10.742
S 0.000 5.140 5.360
S 2.028 7.185 7.329
As 2.028 0.820 12.243
```

Values from the calculation:
formation energy from raw total energies: -0.8196 eV/atom
raw total energy: -5.360 eV/atom

---

(4)
## Na4Np3AsS8 (PBE-GGA)

Data for a relaxed Na4Np3AsS8 crystal.

```
16
Lattice="7.952 0.000 0.000 0.000 8.076 0.077 -3.976 -3.969 5.628" Properties=species:S:1:pos:R:3 pbc="T T T"
As 0.000 4.038 0.038
Na 0.000 0.000 0.000
S 2.048 1.919 5.612
S -2.048 1.919 5.612
Na 1.988 -1.985 2.814
S 1.928 2.188 0.093
S 3.976 0.143 2.987
Np 3.976 4.038 0.038
S 0.000 0.156 2.919
S 3.976 3.950 2.786
S 6.024 2.188 0.093
Np -1.988 2.053 2.852
S 0.000 3.964 2.718
Np 1.988 2.053 2.852
Na -1.988 -1.985 2.814
Na 3.976 0.000 0.000
```

Values from the calculation:
formation energy from raw total energies: -1.1267 eV/atom
raw total energy: -6.237 eV/atom

---

(5)
## Na2NpAsS4 (PBE-GGA)

Data for a relaxed Na2NpAsS4 crystal.

```
16
Lattice="-6.202 -4.555 -1.957 4.716 -6.384 -0.234 -0.256 4.661 6.573" Properties=species:S:1:pos:R:3 pbc="T T T"
S -0.330 -2.618 -0.364
As -6.458 0.106 4.616
Na -0.128 2.331 3.286
Na -0.743 -5.469 -1.095
S -0.444 -0.537 2.571
Na -3.229 0.053 2.308
Np 2.358 -3.192 -0.117
S -1.298 -5.740 1.811
S -1.413 -3.659 4.746
S -3.490 -2.779 1.833
S 1.747 -3.499 2.549
S -3.625 -5.065 -1.495
S 1.882 -1.212 5.877
Np -3.972 -5.416 1.213
As -0.871 -3.139 2.191
Na -3.101 -2.278 -0.978
```

Values from the calculation:
formation energy from raw total energies: -0.9024 eV/atom
raw total energy: -5.495 eV/atom

---

(6)
## Na3Np3AsS8 (PBE-GGA)

Data for a relaxed Na3Np3AsS8 crystal.

```
15
Lattice="-6.431 0.183 -4.661 0.905 -5.855 5.292 -1.662 7.473 2.589" Properties=species:S:1:pos:R:3 pbc="T T T"
S -5.405 2.179 -2.748
S -5.128 -0.282 3.545
Na 0.452 -2.928 2.646
Np -4.047 3.828 -1.036
S -4.934 -0.865 0.003
S -1.645 -0.929 2.234
As -0.831 3.737 1.294
S -2.255 2.667 3.217
Na 0.000 0.000 0.000
Np -0.379 0.809 3.940
S -5.543 2.731 0.986
Np -3.594 0.901 1.610
Na -2.763 -2.836 0.316
S -1.784 -0.378 5.968
S -2.061 2.084 -0.325
```

Values from the calculation:
formation energy from raw total energies: -1.1244 eV/atom
raw total energy: -6.488 eV/atom